1.
DFT (PBE) results for crystalline K3RbZn2Ge2 at its relaxed geometry.

abc: 6.6048 6.2561 6.6680
angles: 90.00 107.35 90.00
Last column: nearest neighbours and their distance in Å.
Element x y z (fractional)
K: 0.3233 0.5000 0.9874  4 Ge 3.57-3.74, 3 K 3.61-3.89, 2 Zn 3.63, 2 Rb 3.94
K: 0.6800 0.0000 0.0157  4 Ge 3.55-3.72, 1 Rb 3.63, 2 Zn 3.63, 4 K 3.89-3.93
K: 0.9806 0.5000 0.3201  3 K 3.61-3.93, 2 Zn 3.62, 4 Ge 3.64-3.74, 2 Rb 3.90
Zn: 0.4970 0.7498 0.5011  2 Ge 2.44
Zn: 0.4970 0.2502 0.5011  2 Ge 2.44
Ge: 0.7352 0.5000 0.7411  2 Zn 2.44
Ge: 0.2660 0.0000 0.2550  2 Zn 2.44
Rb: 0.0210 0.0000 0.6785  5 K 3.63-3.94, 4 Ge 3.65-3.74, 4 Zn 3.66-3.99

Space group = Pm
ρ = 3.02 g/cm³
Total DFT energy (no corrections) = -17.12 eV/f.u.

=====

2.
DFT (PBE) results for crystalline Y2ZrIn at its relaxed geometry.

abc: 5.2833 5.2833 5.2833
angles: 60.00 60.00 60.00
Last column: nearest neighbours and their distance in Å.
Element x y z (fractional)
Zr: 0.2500 0.2500 0.2500  4 In 3.24, 4 Y 3.24
In: 0.5000 0.5000 0.5000  4 Zr 3.24, 4 Y 3.24
Y: 0.7500 0.7500 0.7500  4 Y 3.24, 4 In 3.24
Y: 0.0000 0.0000 0.0000  4 Y 3.24, 4 Zr 3.24

Space group = F-43m
ρ = 6.11 g/cm³
Total magnetization = 0.78 Bohr magnetons per cell
Offset from the most stable computed form = 0.158 eV per atom
Total DFT energy (no corrections) = -24.34 eV/f.u.

=====

3.
DFT (PBE) results for crystalline DyNbCS at its relaxed geometry.

abc: 3.5005 3.5005 12.2652
angles: 90.00 90.00 120.00
Last column: nearest neighbours and their distance in Å.
Element x y z (fractional)
S: 0.3333 0.6667 0.2750  3 Nb 2.66, 3 Dy 2.85
S: 0.6667 0.3333 0.7250  3 Nb 2.66, 3 Dy 2.85
Dy: 0.6667 0.3333 0.1112  3 C 2.44
Dy: 0.3333 0.6667 0.8888  3 C 2.44
C: 0.0000 0.0000 0.0000  6 Dy 2.44
C: 0.0000 0.0000 0.5000  6 Nb 2.27
Nb: 0.6667 0.3333 0.4156  3 C 2.27
Nb: 0.3333 0.6667 0.5844  3 C 2.27

Space group = P-3m1
ρ = 7.64 g/cm³
Total magnetization = 0.01 Bohr magnetons per cell
Offset from the most stable computed form = 0.038 eV per atom
Total DFT energy (no corrections) = -31.91 eV/f.u.

=====

4.
DFT (PBE) results for crystalline Ho2Sc2CI2Cl3 at its relaxed geometry.

abc: 9.8515 9.8515 7.6195
angles: 100.58 100.58 21.79
Last column: nearest neighbours and their distance in Å.
Element x y z (fractional)
Ho: 0.6212 0.6212 0.0461  1 C 2.31
Ho: 0.3788 0.3788 0.9539  1 C 2.31
C: 0.5000 0.5000 0.0000  2 Ho 2.31, 4 Sc 2.40
Cl: 0.8606 0.8606 0.1933  2 Ho 2.68, 1 Sc 2.71
Cl: 0.5000 0.5000 0.5000  4 Sc 2.95
Cl: 0.1394 0.1394 0.8067  2 Ho 2.68, 1 Sc 2.71
Sc: 0.0013 0.0013 0.1996  2 C 2.40
Sc: 0.9987 0.9987 0.8004  2 C 2.40
I: 0.8414 0.8414 0.6458  2 Ho 2.98, 1 Sc 3.05
I: 0.1586 0.1586 0.3542  2 Ho 2.98, 1 Sc 3.05

Space group = C2/m
ρ = 4.88 g/cm³
Total magnetization = 0.03 Bohr magnetons per cell
Offset from the most stable computed form = 0.067 eV per atom
Total DFT energy (no corrections) = -53.36 eV/f.u.

=====

5.
DFT (PBE) results for crystalline ZnTe2Pd2F2 at its relaxed geometry.

abc: 3.6799 3.6799 9.1194
angles: 90.00 90.00 90.00
Last column: nearest neighbours and their distance in Å.
Element x y z (fractional)
F: 0.5000 0.5000 0.5000  4 Pd 2.40, 4 F 2.60
F: 0.0000 0.0000 0.5000  4 Pd 2.40, 4 F 2.60
Zn: 0.0000 0.0000 0.0000  4 Te 2.74
Te: 0.0000 0.5000 0.7769  2 Zn 2.74, 4 Pd 2.78
Te: 0.5000 0.0000 0.2231  2 Zn 2.74, 4 Pd 2.78
Pd: 0.0000 0.5000 0.3303  4 F 2.40
Pd: 0.5000 0.0000 0.6697  4 F 2.40

Space group = P-4m2
ρ = 7.68 g/cm³
Total DFT energy (no corrections) = -25.17 eV/f.u.

=====

6.
DFT (PBE) results for crystalline SnPtNO at its relaxed geometry.

abc: 3.2407 5.8506 6.3215
angles: 90.00 90.00 90.00
Last column: nearest neighbours and their distance in Å.
Element x y z (fractional)
Pt: 0.5000 0.5230 0.7448  2 N 2.04
Pt: 0.5000 0.0230 0.2552  2 N 2.04
Sn: 0.0000 0.9709 0.6690  2 O 2.07, 2 N 2.15-2.16
Sn: 0.0000 0.4709 0.3310  2 O 2.07, 2 N 2.15-2.16
O: 0.5000 0.4227 0.1327  2 Sn 2.07
O: 0.5000 0.9227 0.8673  2 Sn 2.07
N: 0.0000 0.8374 0.3512  2 Pt 2.04, 2 Sn 2.15-2.16
N: 0.0000 0.3374 0.6488  2 Pt 2.04, 2 Sn 2.15-2.16

Space group = Pmc2_1
ρ = 9.53 g/cm³
Total magnetization = 0.00 Bohr magnetons per cell
Offset from the most stable computed form = 0.228 eV per atom
Total DFT energy (no corrections) = -22.89 eV/f.u.